# 1
meta-GGA SCAN AlAg2Hg, single point on PBEsol structure; space group = No. 6; ΔE_f = 0.014 eV per atom; density of states at the Fermi level = 0.2167 states/eV/atom; spin magnetization = 0.00 μB per cell; E above lowest polymorph = 0.70 kcal/mol of atoms
1.0
2.945 0.000 0.001
0.000 4.354 0.000
-1.394 0.000 5.493
Hg Ag Al
1 2 1
Cartesian
0.233 2.177 4.180
-1.230 0.000 5.438
1.691 2.177 1.531
0.237 0.000 2.584


# 2
meta-GGA SCAN Al2AgHg, single point on PBEsol structure; space group = No. 160; ΔE_f = 0.011 eV per atom; density of states at the Fermi level = 0.2900 states/eV/atom; spin magnetization = 0.00 μB per cell
1.0
-0.148 -3.039 -0.430
0.993 -1.912 2.191
-7.673 -1.760 4.097
Hg Ag Al
1 1 2
Cartesian
-3.445 -3.356 2.942
-1.581 -1.676 1.409
0.826 -4.951 1.769
-5.196 -5.034 4.426


# 3
meta-GGA SCAN AlAgHg3, single point on PBEsol structure; space group = No. 221; ΔE_f = 0.503 eV per atom; density of states at the Fermi level = 0.5625 states/eV/atom; spin magnetization = 0.00 μB per cell
1.0
-2.250 -4.514 1.288
2.850 -2.448 -3.602
3.729 -0.852 3.530
Hg Ag Al
3 1 1
Cartesian
1.425 -1.224 -1.801
1.865 -0.426 1.765
-1.125 -2.257 0.644
0.000 0.000 0.000
2.165 -3.907 0.608